## Ti2CdBi (PBE-GGA)

Data for Ti2CdBi after structural relaxation.

Cell: 4.863 4.863 4.863 Å, 60.00 60.00 60.00°
Sites, in units of the cell vectors:
1 Ti 0.250 0.250 0.250
2 Ti 0.750 0.750 0.750
3 Cd 0.000 0.000 0.000
4 Bi 0.500 0.500 0.500

Properties
The value obtained for the offset from the most stable computed form is 106.4 meV per atom. The calculation puts the formation energy at 0.156 eV/atom. Its total magnetization is 0.00 μB/cell. The value obtained for the density of states at the Fermi level is 6.5 states/eV per cell.